Here is an optimized crystal structure of PaCoNiPt from Alexandria via LeMat-Bulk. Energies are from PBE.

```
PaCoNiPt
1.0
4.451 0.000 0.000
2.226 3.855 0.000
2.226 1.285 3.635
Ni Pa Co Pt
1 1 1 1
direct
0.500 0.500 0.500 Ni
0.250 0.250 0.250 Pa
0.000 0.000 0.000 Co
0.750 0.750 0.750 Pt
```

Computed properties:
Polymorph energy (0 for the lowest one) ... 169 meV/atom
E ... -30.267 eV per cell
DFT formation energy ... -461 meV/atom
N(E_F) ... 2.52 states/eV per cell
Calculated volume ... 62.4 Å³/f.u.